Density functional theory data (PBE with a Hubbard U) for a relaxed structure of SrNi3Se4O12.

The calculation puts the total magnetization at 0.11 μB per atom. The calculation puts the total energy at -0.178 Ha/atom. The crystal system is trigonal.

The space group is R32 (No. 155, hexagonal axes) and the conventional cell measures 11.1642, 11.1642 and 7.7602 Å, with angles of 90.00, 90.00 and 120.00 degrees. The inequivalent atoms are Sr at (0.0000, 0.0000, 0.0000), Ni at (0.0000, 0.5652, 0.0000), Se at (0.0000, 0.0000, 0.5000), Se at (0.0000, 0.4425, 0.5000), O at (0.0000, 0.6060, 0.5000), O at (0.0000, 0.8348, 0.5000) and O at (0.0553, 0.2266, 0.1775).